16
Lattice="3.906 0.000 0.000 0.000 11.913 0.000 0.000 0.000 9.171" Properties=species:S:1:pos:R:3 comment="TbDy2Tc (GGA-PBE, relaxed)" spacegroup="Cmcm (63)" ef_ev_per_atom=-0.0994 pbc="T T T"
Tb 0.000 0.868 2.293
Tb 0.000 11.045 6.878
Tb 1.953 5.089 6.878
Tb 1.953 6.825 2.293
Dy 0.000 4.236 0.613
Dy 0.000 4.236 3.972
Dy 0.000 7.678 5.198
Dy 0.000 7.678 8.558
Dy 1.953 1.721 5.198
Dy 1.953 1.721 8.558
Dy 1.953 10.193 0.613
Dy 1.953 10.193 3.972
Tc 0.000 3.108 6.878
Tc 0.000 8.806 2.293
Tc 1.953 2.849 2.293
Tc 1.953 9.065 6.878


4
Lattice="4.218 0.000 0.000 -2.109 3.653 0.000 0.000 0.000 7.679" Properties=species:S:1:pos:R:3 comment="TbDyTe2 (GGA-PBE, relaxed)" spacegroup="P-3m1 (164)" de_polymorph_kj_per_mol_fu=0 pbc="T T T"
Tb 0.000 0.000 0.000
Dy 0.000 0.000 3.840
Te 0.000 2.436 1.934
Te 2.109 1.218 5.746


8
Lattice="7.671 0.000 0.000 0.000 7.671 0.000 0.000 0.000 4.052" Properties=species:S:1:pos:R:3 comment="TbDyTe2 (GGA-PBE, relaxed)" spacegroup="P-42_1m (113)" de_polymorph_kj_per_mol_fu=72 pbc="T T T"
Tb 0.000 3.835 0.695
Tb 3.835 0.000 3.357
Dy 0.000 0.000 0.000
Dy 3.835 3.835 0.000
Te 1.668 2.168 2.702
Te 2.168 6.003 1.350
Te 5.503 1.668 1.350
Te 6.003 5.503 2.702


4
Lattice="4.355 0.000 0.000 0.000 4.355 0.000 0.000 0.000 6.166" Properties=species:S:1:pos:R:3 comment="TbDyTe2 (GGA-PBE, relaxed)" spacegroup="P4/mmm (123)" de_polymorph_kj_per_mol_fu=6 pbc="T T T"
Tb 0.000 0.000 0.000
Dy 2.178 2.178 3.083
Te 0.000 0.000 3.083
Te 2.178 2.178 0.000


12
Lattice="7.151 0.000 0.000 0.000 7.151 0.000 0.000 0.000 7.151" Properties=species:S:1:pos:R:3 comment="TbDyTe (GGA-PBE, relaxed)" spacegroup="F-43m (216)" de_polymorph_kj_per_mol_fu=0 pbc="T T T"
Tb 0.000 0.000 0.000
Tb 0.000 3.575 3.575
Tb 3.575 0.000 3.575
Tb 3.575 3.575 0.000
Dy 0.000 0.000 3.575
Dy 0.000 3.575 0.000
Dy 3.575 0.000 0.000
Dy 3.575 3.575 3.575
Te 1.788 1.788 5.363
Te 1.788 5.363 1.788
Te 5.363 1.788 1.788
Te 5.363 5.363 5.363


12
Lattice="2.204 -7.661 0.000 2.204 7.661 0.000 0.000 0.000 12.048" Properties=species:S:1:pos:R:3 comment="TbDyTlTe3 (GGA-PBE, relaxed)" spacegroup="Cmcm (63)" dft_energy_ev_per_fu=-26.820 pbc="T T T"
Tb 2.204 6.582 9.036
Tb 2.204 -6.582 3.012
Dy 2.204 0.000 0.000
Dy 2.204 0.000 6.024
Tl 2.204 3.913 3.012
Tl 2.204 -3.913 9.036
Te 2.204 5.469 6.312
Te 2.204 5.469 11.760
Te 2.204 0.951 9.036
Te 2.204 -0.951 3.012
Te 2.204 -5.469 0.288
Te 2.204 -5.469 5.736